A plane-wave DFT calculation with GGA-PBEsol was carried out for an optimized crystal structure of Er2FeSi2.

The structure in POSCAR format:
```
Er2FeSi2
1.0
-2.011 -0.886 3.427
-3.891 -3.810 -0.851
4.443 -6.810 3.266
Er Fe Si
4 2 4
direct
0.189 0.731 0.892
0.811 0.269 0.108
0.998 0.331 0.672
0.002 0.669 0.328
0.729 0.919 0.624
0.271 0.081 0.376
0.500 0.128 0.872
0.500 0.872 0.128
0.347 0.743 0.564
0.653 0.257 0.436
```

crystal system: monoclinic
density: 8.35 Mg/m³
space group: No. 12
E_tot: -6.850 eV per atom
magnetization: 0.00 μB/cell